No. 1
18
Lattice="5.6440 -6.2153 0.0000 5.6440 6.2153 0.0000 -2.7474 0.0000 6.5630" Properties=species:S:1:pos:R:3 comment="Ni2Te6Pt (PBE, relaxed)" sg=C2/c final_energy_ev_per_cell=-75.6 pbc="T T T"
Ni 0.7617 1.0373 1.5604
Ni -0.6120 -1.0373 4.8419
Ni 9.1527 1.0373 1.7211
Ni 7.7790 -1.0373 5.0026
Te 5.2010 -4.9737 3.7411
Te 3.3397 4.9737 2.8219
Te 1.6437 2.7377 5.6387
Te 6.5747 4.9737 0.4596
Te 3.1895 0.9811 2.2259
Te 5.5233 2.7377 4.2059
Te 1.8158 -0.9811 5.5074
Te 6.7249 0.9811 1.0556
Te 3.0174 -2.7377 2.3572
Te 5.3512 -0.9811 4.3371
Te 1.9660 -4.9737 6.1034
Te 6.8970 -2.7377 0.9244
Pt 3.5835 1.0293 4.9223
Pt 4.9572 -1.0293 1.6408

No. 2
5
Lattice="5.2554 0.0000 0.0000 0.0000 5.2554 0.0000 0.0000 0.0000 5.6393" Properties=species:S:1:pos:R:3 comment="SrMnCu2Se (PBE, relaxed)" sg=P4/mmm final_energy_ev_per_cell=-17.1 pbc="T T T"
Sr 0.0000 0.0000 0.0000
Mn 2.6277 2.6277 2.8196
Cu 0.0000 2.6277 0.0000
Cu 2.6277 0.0000 0.0000
Se 0.0000 0.0000 2.8196

No. 3
5
Lattice="4.1419 0.0000 0.0000 0.0000 4.1419 0.0000 0.0000 0.0000 4.8951" Properties=species:S:1:pos:R:3 comment="HgPPdF2 (PBE, relaxed)" sg=P4/mmm final_energy_ev_per_cell=-17.6 pbc="T T T"
Hg 0.0000 0.0000 0.0000
P 2.0709 2.0709 0.0000
Pd 2.0709 2.0709 2.4475
F 0.0000 2.0709 2.4475
F 2.0709 0.0000 2.4475

No. 4
4
Lattice="3.7642 0.0000 0.0000 0.0000 3.7642 0.0000 0.0000 0.0000 10.7684" Properties=species:S:1:pos:R:3 comment="LaNdEu2 (PBE, relaxed)" formation_energy_ev_per_atom=0.09 sg=P4/mmm final_energy_ev_per_cell=-29.9 pbc="T T T"
La 0.0000 0.0000 0.0000
Nd 0.0000 0.0000 5.3842
Eu 1.8821 1.8821 2.7283
Eu 1.8821 1.8821 8.0401

No. 5
4
Lattice="4.4438 0.0000 0.0000 0.0000 4.4438 0.0000 0.0000 0.0000 4.5213" Properties=species:S:1:pos:R:3 comment="CaAl2Sn (PBE, relaxed)" formation_energy_ev_per_atom=-0.21 sg=P4/mmm final_energy_ev_per_cell=-14.3 pbc="T T T"
Ca 0.0000 0.0000 0.0000
Al 0.0000 2.2219 2.2606
Al 2.2219 0.0000 2.2606
Sn 2.2219 2.2219 0.0000

No. 6
6
Lattice="0.0000 4.1234 4.1234 4.1234 0.0000 4.1234 4.1234 4.1234 0.0000" Properties=species:S:1:pos:R:3 comment="AlTlAs4 (PBE, relaxed)" formation_energy_ev_per_atom=0.32 sg=F-43m final_energy_ev_per_cell=-22.8 pbc="T T T"
Al 0.0000 0.0000 0.0000
Tl 2.0617 2.0617 2.0617
As 5.2330 3.0138 3.0138
As 3.0138 5.2330 3.0138
As 3.0138 3.0138 5.2330
As 5.2330 5.2330 5.2330

No. 7
8
Lattice="6.5120 0.0000 0.0000 0.0000 3.8239 0.0000 -2.2506 0.0000 7.3191" Properties=species:S:1:pos:R:3 comment="Sm4BBr2N (PBE, relaxed)" sg=P2/m final_energy_ev_per_cell=-46.1 pbc="T T T"
Sm 1.0331 0.0000 1.3274
Sm -0.1331 1.9119 5.9590
Sm 4.3944 1.9119 1.3601
Sm 3.2282 0.0000 5.9917
B 3.2560 0.0000 0.0000
Br -1.1253 0.0000 3.6596
Br 2.1307 1.9119 3.6596
N 0.0000 1.9119 0.0000

No. 8
4
Lattice="4.9497 -1.5952 0.0000 4.9497 1.5952 0.0000 -1.5433 0.0000 4.8719" Properties=species:S:1:pos:R:3 comment="ScCd2Ir (PBE, relaxed)" formation_energy_ev_per_atom=-0.20 sg=Cm final_energy_ev_per_cell=-17.8 pbc="T T T"
Sc 0.0000 0.0000 0.0000
Cd 1.1721 0.0000 3.2996
Cd 3.8527 0.0000 2.2863
Ir 6.9126 0.0000 0.7704

No. 9
20
Lattice="6.1506 0.0000 0.0000 0.0000 9.8959 0.0000 0.0000 0.0000 10.6189" Properties=species:S:1:pos:R:3 comment="Ba2GaHg6Bi (PBE, relaxed)" formation_energy_ev_per_atom=-0.28 sg=Pmmn final_energy_ev_per_cell=-30.7 pbc="T T T"
Ba 1.5377 0.1113 2.5722
Ba 1.5377 4.8367 2.5722
Ba 4.6130 5.0592 8.0467
Ba 4.6130 9.7847 8.0467
Ga 1.5377 2.4740 7.8966
Ga 4.6130 7.4219 2.7223
Hg 0.0168 2.4740 10.1731
Hg 0.0313 7.4219 5.3571
Hg 1.5377 0.0380 6.3985
Hg 1.5377 4.9099 6.3985
Hg 3.0440 7.4219 5.3571
Hg 3.0585 2.4740 10.1731
Hg 3.0921 7.4219 0.4458
Hg 3.1067 2.4740 5.2618
Hg 4.6130 4.9860 4.2204
Hg 4.6130 9.8579 4.2204
Hg 6.1193 2.4740 5.2618
Hg 6.1338 7.4219 0.4458
Bi 1.5377 7.4219 8.4567
Bi 4.6130 2.4740 2.1621

No. 10
11
Lattice="10.5883 -2.8248 0.0000 10.5883 2.8248 0.0000 -1.6281 0.0000 7.8606" Properties=species:S:1:pos:R:3 comment="Sr8BiPb2 (PBE, relaxed)" formation_energy_ev_per_atom=-0.42 sg=C2/m final_energy_ev_per_cell=-29.4 pbc="T T T"
Sr 0.2181 0.0000 2.1859
Sr 3.1472 0.0000 6.4297
Sr 6.2947 0.0000 4.1744
Sr 8.5105 0.0000 0.4153
Sr 11.0380 0.0000 7.4452
Sr 13.2537 0.0000 3.6861
Sr 16.4012 0.0000 1.4308
Sr 19.3304 0.0000 5.6747
Bi 9.7742 0.0000 3.9303
Pb 3.6950 0.0000 1.8230
Pb 15.8535 0.0000 6.0376

No. 11
4
Lattice="0.0000 3.4214 3.4214 3.4214 0.0000 3.4214 3.4214 3.4214 0.0000" Properties=species:S:1:pos:R:3 comment="AgP2I (PBE, relaxed)" sg=Fm-3m final_energy_ev_per_cell=-11.2 pbc="T T T"
Ag 0.0000 0.0000 0.0000
P 1.7107 1.7107 1.7107
P 5.1321 5.1321 5.1321
I 3.4214 3.4214 3.4214

No. 12
4
Lattice="3.6938 0.0000 0.0000 0.0000 3.6938 0.0000 0.0000 0.0000 9.6796" Properties=species:S:1:pos:R:3 comment="LiSb2Br (PBE, relaxed)" sg=P4mm final_energy_ev_per_cell=-14.1 pbc="T T T"
Li 0.0000 0.0000 0.0000
Sb 0.0000 0.0000 6.2807
Sb 1.8469 1.8469 4.7376
Br 1.8469 1.8469 0.1520